Density functional theory data (PBE) for an optimized crystal structure of Sc2CrPbC.

Properties
- Space-group type: P4/mmm
- E_form: -0.33 eV per atom

Cell: 4.622 4.622 3.918 Å, 90.00 90.00 90.00°
Atoms (fractional coordinates):
Pb 0.500 0.500 0.500
Cr 0.000 0.000 0.500
C 0.000 0.000 0.000
Sc 0.000 0.500 0.000
Sc 0.500 0.000 0.000


Density functional theory data (PBE) for an optimized crystal structure of CeNd2Th.

Properties
- Space-group type: P4/mmm
- E_form: 0.11 eV per atom
- Distance to the lowest polymorph of the same formula: 16 meV/atom

Cell: 5.192 5.020 5.020 Å, 90.00 90.00 90.00°
Atoms (fractional coordinates):
Nd 0.000 0.000 0.500
Nd 0.000 0.500 0.000
Ce 0.500 0.500 0.500
Th 0.500 0.000 0.000


Density functional theory data (PBE) for an optimized crystal structure of RbCoNi3.

Properties
- Space-group type: Pm-3m
- E_form: 0.96 eV per atom
- Distance to the lowest polymorph of the same formula: 0 meV/atom

Cell: 4.530 4.530 4.530 Å, 90.00 90.00 90.00°
Atoms (fractional coordinates):
Ni 0.000 0.500 0.000
Ni 0.000 0.000 0.500
Ni 0.500 0.000 0.000
Co 0.000 0.000 0.000
Rb 0.500 0.500 0.500


Density functional theory data (PBE) for an optimized crystal structure of Na5B7C3.

Properties
- Space-group type: P1
- E_form: 0.15 eV per atom
- Distance to the lowest polymorph of the same formula: 33 meV/atom

Cell: 7.692 7.693 9.052 Å, 107.78 107.76 37.86°
Atoms (fractional coordinates):
Na 0.800 0.800 0.997
Na 0.903 0.900 0.505
Na 0.596 0.602 0.996
Na 0.697 0.704 0.502
Na 0.399 0.398 0.995
Na 0.501 0.501 0.505
Na 0.198 0.201 0.999
Na 0.299 0.301 0.504
Na 0.000 0.999 0.996
Na 0.099 0.101 0.501
B 0.581 0.920 0.250
B 0.617 0.283 0.749
B 0.681 0.008 0.751
B 0.518 0.194 0.250
B 0.381 0.718 0.250
B 0.484 0.816 0.750
B 0.317 0.983 0.250
B 0.266 0.634 0.749
B 0.106 0.782 0.250
B 0.966 0.334 0.251
B 0.084 0.416 0.751
B 0.938 0.580 0.250
B 0.892 0.219 0.749
B 0.721 0.362 0.250
C 0.419 0.076 0.751
C 0.191 0.512 0.250
C 0.218 0.885 0.749
C 0.015 0.682 0.751
C 0.788 0.108 0.250
C 0.825 0.481 0.750


Density functional theory data (PBE) for an optimized crystal structure of Ac2PrGe3Rh4.

Properties
- Space-group type: P-4m2
- E_form: -0.81 eV per atom

Cell: 4.331 4.331 11.424 Å, 90.00 90.00 90.00°
Atoms (fractional coordinates):
Ac 0.500 0.000 0.231
Ac 0.000 0.500 0.769
Pr 0.500 0.500 0.500
Ge 0.000 0.000 0.500
Ge 0.500 0.000 0.885
Ge 0.000 0.500 0.115
Rh 0.500 0.500 0.000
Rh 0.000 0.000 0.000
Rh 0.500 0.000 0.665
Rh 0.000 0.500 0.335


Density functional theory data (PBE) for an optimized crystal structure of Na2IrF.

Properties
- Space-group type: I-42d
- Formation energy without anion corrections: -0.31 eV/atom
- Distance to the lowest polymorph of the same formula: 0 meV/atom

Cell: 6.514 6.514 6.010 Å, 57.18 57.18 90.00°
Atoms (fractional coordinates):
Na 0.524 0.125 0.250
Na 0.226 0.625 0.250
Na 0.375 0.476 0.750
Na 0.875 0.774 0.750
Ir 0.000 0.000 0.000
Ir 0.750 0.250 0.500
F 0.500 0.500 0.000
F 0.250 0.750 0.500


Density functional theory data (PBE) for an optimized crystal structure of PmZnGaSn.

Properties
- Space-group type: F-43m
- E_form: -0.26 eV per atom

Cell: 5.056 5.056 5.056 Å, 60.00 60.00 60.00°
Atoms (fractional coordinates):
Zn 0.000 0.000 0.000
Sn 0.250 0.250 0.250
Ga 0.500 0.500 0.500
Pm 0.750 0.750 0.750


Density functional theory data (PBE) for an optimized crystal structure of Cd3FeNi.

Properties
- Space-group type: Pm-3m
- E_form: 1.00 eV per atom
- Distance to the lowest polymorph of the same formula: 246 meV/atom

Cell: 4.958 4.958 4.958 Å, 90.00 90.00 90.00°
Atoms (fractional coordinates):
Ni 0.500 0.500 0.500
Fe 0.000 0.000 0.000
Cd 0.000 0.500 0.000
Cd 0.000 0.000 0.500
Cd 0.500 0.000 0.000


Density functional theory data (PBE) for an optimized crystal structure of Pm2Tl2BiO6.

Properties
- Space-group type: C2/m
- Formation energy without anion corrections: -1.87 eV/atom

Cell: 6.210 6.210 6.842 Å, 98.88 98.88 119.74°
Atoms (fractional coordinates):
Pm 0.335 0.665 0.500
Pm 0.665 0.335 0.500
Tl 0.832 0.168 0.000
Tl 0.168 0.832 0.000
Bi 0.000 0.000 0.500
O 0.741 0.741 0.677
O 0.054 0.383 0.673
O 0.259 0.259 0.323
O 0.383 0.054 0.673
O 0.946 0.617 0.327
O 0.617 0.946 0.327


Density functional theory data (PBE) for an optimized crystal structure of SrTl4I6.

Properties
- Space-group type: R-3c
- Formation energy without anion corrections: -0.92 eV/atom

Cell: 9.903 9.903 9.903 Å, 89.53 89.53 90.47°
Atoms (fractional coordinates):
Sr 0.500 0.500 0.500
Sr 0.000 0.000 0.000
Tl 0.366 0.134 0.250
Tl 0.866 0.250 0.366
Tl 0.250 0.634 0.134
Tl 0.250 0.250 0.750
Tl 0.750 0.750 0.250
Tl 0.750 0.366 0.866
Tl 0.134 0.750 0.634
Tl 0.634 0.866 0.750
I 0.686 0.058 0.077
I 0.077 0.314 0.058
I 0.577 0.442 0.186
I 0.942 0.077 0.686
I 0.558 0.186 0.577
I 0.186 0.423 0.442
I 0.814 0.577 0.558
I 0.442 0.814 0.423
I 0.058 0.923 0.314
I 0.423 0.558 0.814
I 0.923 0.686 0.942
I 0.314 0.942 0.923


Density functional theory data (PBE) for an optimized crystal structure of BaTc2Pt.

Properties
- Space-group type: P4/mmm
- E_form: 0.65 eV per atom
- Distance to the lowest polymorph of the same formula: 460 meV/atom

Cell: 3.402 3.402 7.580 Å, 90.00 90.00 90.00°
Atoms (fractional coordinates):
Ba 0.500 0.500 0.250
Pt 0.500 0.500 0.750
Tc 0.000 0.000 0.908
Tc 0.000 0.000 0.592


Density functional theory data (PBE) for an optimized crystal structure of FePdAu.

Properties
- Space-group type: Cmcm
- E_form: 0.00 eV per atom
- Distance to the lowest polymorph of the same formula: 19 meV/atom

Cell: 2.807 4.481 7.488 Å, 90.00 100.80 90.00°
Atoms (fractional coordinates):
Fe 0.449 0.250 0.897
Fe 0.551 0.750 0.103
Pd 0.901 0.750 0.803
Pd 0.099 0.250 0.197
Au 0.787 0.250 0.574
Au 0.213 0.750 0.426


Density functional theory data (PBE) for an optimized crystal structure of Re2TcAs.

Properties
- Space-group type: Pmmm
- E_form: 0.31 eV per atom

Cell: 3.012 4.436 4.478 Å, 90.00 90.00 90.00°
Atoms (fractional coordinates):
Re 0.000 0.000 0.000
Re 0.500 0.500 0.000
As 0.000 0.500 0.500
Tc 0.500 0.000 0.500


Density functional theory data (PBE) for an optimized crystal structure of CeAlRu.

Properties
- Space-group type: Cmcm
- E_form: -0.50 eV per atom

Cell: 3.327 6.164 6.035 Å, 90.01 105.99 90.00°
Atoms (fractional coordinates):
Ce 0.832 0.750 0.665
Ce 0.168 0.250 0.335
Al 0.895 0.250 0.791
Al 0.105 0.750 0.209
Ru 0.500 0.500 0.000
Ru 0.500 0.000 0.000


Density functional theory data (PBE) for an optimized crystal structure of LaMnPIr2.

Properties
- Space-group type: P4/mmm
- E_form: 2.24 eV per atom

Cell: 4.952 4.524 4.952 Å, 90.00 90.00 90.00°
Atoms (fractional coordinates):
P 0.500 0.500 0.500
Ir 0.000 0.000 0.500
Ir 0.500 0.000 0.000
Mn 0.000 0.500 0.000
La 0.000 0.000 0.000


Density functional theory data (PBE) for an optimized crystal structure of YIr2Pt.

Properties
- Space-group type: P2/m
- E_form: -0.27 eV per atom
- Distance to the lowest polymorph of the same formula: 284 meV/atom

Cell: 4.692 2.955 5.184 Å, 78.81 90.00 90.00°
Atoms (fractional coordinates):
Ir 0.000 0.117 0.019
Ir 0.000 0.383 0.481
Pt 0.500 0.250 0.250
Y 0.500 0.750 0.750


Density functional theory data (PBE) for an optimized crystal structure of CePrSm.

Properties
- Space-group type: P1
- E_form: 0.20 eV per atom
- Distance to the lowest polymorph of the same formula: 126 meV/atom

Cell: 5.948 3.519 9.854 Å, 100.36 73.00 90.05°
Atoms (fractional coordinates):
Ce 0.444 0.831 0.686
Ce 0.593 0.220 0.465
Pr 0.298 0.994 0.014
Pr 0.737 0.057 0.137
Sm 0.906 0.376 0.777
Sm 0.131 0.676 0.374


Density functional theory data (PBE) for an optimized crystal structure of LiTe2Se.

Properties
- Space-group type: Cm
- Formation energy without anion corrections: -0.35 eV/atom

Cell: 6.815 6.815 4.316 Å, 108.37 108.37 35.11°
Atoms (fractional coordinates):
Li 0.525 0.525 0.525
Se 0.745 0.745 0.745
Te 0.999 0.999 0.000
Te 0.230 0.230 0.230


Density functional theory data (PBE) for an optimized crystal structure of CdRh2Cl.

Properties
- Space-group type: Pmmm
- Formation energy without anion corrections: 0.22 eV/atom
- Distance to the lowest polymorph of the same formula: 207 meV/atom

Cell: 3.962 3.088 5.597 Å, 89.96 90.00 90.00°
Atoms (fractional coordinates):
Cd 0.500 0.250 0.250
Cl 0.500 0.750 0.750
Rh 0.000 0.750 0.004
Rh 0.000 0.750 0.496


Density functional theory data (PBE) for an optimized crystal structure of LiTlN.

Properties
- Space-group type: P-1
- Formation energy without anion corrections: -0.12 eV/atom

Cell: 3.218 3.640 10.552 Å, 96.69 106.07 63.35°
Atoms (fractional coordinates):
N 0.467 0.639 0.041
N 0.533 0.361 0.959
Tl 0.204 0.774 0.362
Tl 0.796 0.226 0.638
Li 0.750 0.796 0.892
Li 0.250 0.204 0.108


Density functional theory data (PBE) for an optimized crystal structure of Sb2Te2Se.

Properties
- Space-group type: P4/mbm
- Formation energy without anion corrections: 0.05 eV/atom
- Distance to the lowest polymorph of the same formula: 239 meV/atom

Cell: 8.272 8.272 4.328 Å, 90.00 90.00 90.00°
Atoms (fractional coordinates):
Sb 0.310 0.810 0.000
Sb 0.810 0.690 0.000
Sb 0.690 0.190 0.000
Sb 0.190 0.310 0.000
Te 0.145 0.645 0.500
Te 0.645 0.855 0.500
Te 0.855 0.355 0.500
Te 0.355 0.145 0.500
Se 0.000 0.000 0.000
Se 0.500 0.500 0.000


Density functional theory data (PBE) for an optimized crystal structure of Ca3PuSb3.

Properties
- Space-group type: C2/m
- Formation energy without anion corrections: -0.66 eV/atom
- Distance to the lowest polymorph of the same formula: 248 meV/atom

Cell: 8.116 8.116 8.156 Å, 90.80 90.80 115.66°
Atoms (fractional coordinates):
Ca 0.637 0.637 0.382
Ca 0.164 0.836 0.500
Ca 0.836 0.164 0.500
Ca 0.212 0.788 0.000
Ca 0.788 0.212 0.000
Ca 0.363 0.363 0.618
Pu 0.734 0.734 0.913
Pu 0.266 0.266 0.087
Sb 0.943 0.943 0.225
Sb 0.816 0.479 0.706
Sb 0.479 0.816 0.706
Sb 0.184 0.521 0.294
Sb 0.521 0.184 0.294
Sb 0.057 0.057 0.775


Density functional theory data (PBE) for an optimized crystal structure of Ca2Be4ZnPt3.

Properties
- Space-group type: P-4m2
- E_form: -0.59 eV per atom

Cell: 4.035 4.035 9.543 Å, 90.00 90.00 90.00°
Atoms (fractional coordinates):
Ca 0.500 0.000 0.244
Ca 0.000 0.500 0.756
Be 0.500 0.500 0.000
Be 0.000 0.000 0.000
Be 0.500 0.000 0.630
Be 0.000 0.500 0.370
Zn 0.500 0.500 0.500
Pt 0.000 0.000 0.500
Pt 0.500 0.000 0.876
Pt 0.000 0.500 0.124


Density functional theory data (PBE) for an optimized crystal structure of Tb5RuAu4.

Properties
- Space-group type: P4/mmm
- E_form: -0.76 eV per atom

Cell: 3.549 3.549 18.128 Å, 90.00 90.00 90.00°
Atoms (fractional coordinates):
Tb 0.500 0.500 0.092
Tb 0.500 0.500 0.296
Tb 0.500 0.500 0.500
Tb 0.500 0.500 0.704
Tb 0.500 0.500 0.908
Ru 0.000 0.000 0.000
Au 0.000 0.000 0.195
Au 0.000 0.000 0.399
Au 0.000 0.000 0.601
Au 0.000 0.000 0.805


Number 1: final energy -7.37 eV per atom, density of states at the Fermi level 2.56 states/eV/f.u.. Number 2: final energy -5.62 eV per atom, density of states at the Fermi level 8.80 states/eV/f.u.. Number 3: final energy -4.13 eV per atom, density of states at the Fermi level 4.72 states/eV/f.u.. Number 4: final energy -5.25 eV per atom, density of states at the Fermi level 1.57 states/eV/f.u.. Number 5: final energy -6.44 eV per atom, density of states at the Fermi level 4.96 states/eV/f.u.. Number 6: final energy -3.65 eV per atom, density of states at the Fermi level 2.06 states/eV/f.u.. Number 7: final energy -3.53 eV per atom, density of states at the Fermi level 1.39 states/eV/f.u.. Number 8: final energy -2.39 eV per atom, density of states at the Fermi level 4.81 states/eV/f.u.. Number 9: final energy -6.23 eV per atom, density of states at the Fermi level 5.38 states/eV/f.u.. Number 10: final energy -2.77 eV per atom, density of states at the Fermi level 0.00 states/eV/f.u.. Number 11: final energy -6.52 eV per atom, density of states at the Fermi level 6.66 states/eV/f.u.. Number 12: final energy -5.64 eV per atom, density of states at the Fermi level 2.54 states/eV/f.u.. Number 13: final energy -9.67 eV per atom, density of states at the Fermi level 4.20 states/eV/f.u.. Number 14: final energy -6.82 eV per atom, density of states at the Fermi level 3.25 states/eV/f.u.. Number 15: final energy -5.20 eV per atom, density of states at the Fermi level 6.53 states/eV/f.u.. Number 16: final energy -7.82 eV per atom, density of states at the Fermi level 2.78 states/eV/f.u.. Number 17: final energy -4.94 eV per atom, density of states at the Fermi level 5.63 states/eV/f.u.. Number 18: final energy -3.27 eV per atom, density of states at the Fermi level 0.96 states/eV/f.u.. Number 19: final energy -4.14 eV per atom, density of states at the Fermi level 4.79 states/eV/f.u.. Number 20: final energy -4.32 eV per atom, density of states at the Fermi level 0.87 states/eV/f.u.. Number 21: final energy -3.56 eV per atom, density of states at the Fermi level 2.09 states/eV/f.u.. Number 22: final energy -5.33 eV per atom, density of states at the Fermi level 12.42 states/eV/f.u.. Number 23: final energy -4.42 eV per atom, density of states at the Fermi level 5.16 states/eV/f.u.. Number 24: final energy -5.31 eV per atom, density of states at the Fermi level 4.37 states/eV/f.u..